# InRhBr2

Crystalline InRhBr2 at its relaxed geometry (PBE, Alexandria).

a = 3.670 Å, b = 3.670 Å, c = 7.610 Å
α = 90.00°, β = 90.00°, γ = 90.00°
Fractional coordinates of all 4 atoms:
In (0.000, 0.000, 0.000)
Rh (0.500, 0.500, 0.103)
Br (0.000, 0.000, 0.358)
Br (0.500, 0.500, 0.766)

Results
E_form (uncorrected) (kJ/mol of formula units): -49
V (Å³ per cell): 102.5